Here is a relaxed V2CuAs2 crystal from the Alexandria database. Energies are from PBE.

The space group is P4/mbm (No. 127) and the conventional cell measures 6.7813, 6.7813 and 3.2243 Å, with angles of 90.00, 90.00 and 90.00 degrees. The asymmetric unit holds V at (0.1394, 0.3606, 0.0000), Cu at (0.0000, 0.0000, 0.0000) and As at (0.1550, 0.6550, 0.5000).

Its size of the total moment is 0.00 μB/f.u. Its formation energy is -0.149 eV/atom. The calculation puts the total DFT energy (no corrections) at -6.476 eV/atom.



Here is a relaxed V2CuAs2 crystal from the Alexandria database. Energies are from PBE.

The space group is P4/mbm (No. 127) and the conventional cell measures 6.7830, 6.7830 and 3.1794 Å, with angles of 90.00, 90.00 and 90.00 degrees. The asymmetric unit holds V at (0.1403, 0.3597, 0.0000), Cu at (0.0000, 0.0000, 0.5000) and As at (0.1532, 0.6532, 0.5000).

Its size of the total moment is 0.00 μB/f.u. Its formation energy is -0.159 eV/atom. The calculation puts the total DFT energy (no corrections) at -6.486 eV/atom.



> What is the formula in the second record?

V2CuAs2